Compound: NaNdSnO3
Source: Alexandria via LeMat-Bulk
Functional: PBE-GGA
Structure: optimized geometry

Properties
Total DFT energy (no corrections) (eV per atom): -6.30
Fermi-level density of states (states/eV per atom): 0.00
Space-group type: P2_1/m, No. 11
Formation energy without anion corrections (kJ per mole of atoms): -206.7
Spin magnetization (μB/f.u.): 0.0

Unit cell a=6.8223 b=3.5284 c=10.0556 alpha=90.00 beta=109.55 gamma=90.00
Element x y z (fractional)
Na: 0.0635 0.2500 0.3870
Na: 0.9365 0.7500 0.6130
Nd: 0.4622 0.7500 0.6462
Nd: 0.5378 0.2500 0.3538
Sn: 0.2706 0.2500 0.8908
Sn: 0.7294 0.7500 0.1092
O: 0.2214 0.2500 0.6522
O: 0.3329 0.7500 0.3957
O: 0.4651 0.7500 0.8889
O: 0.5349 0.2500 0.1111
O: 0.6671 0.2500 0.6043
O: 0.7786 0.7500 0.3478